Entry 1:
ScTaHg2: relaxed, PBE.

Formation energy from the elements = 0.45 eV per atom
E_tot = -4.246 eV per atom

Lattice parameters (Å, degrees): 6.2191 6.2191 6.2191 103.74 103.74 121.67
Sites, in units of the cell vectors:
Sc 0.0000 0.0000 0.0000
Sc 0.7500 0.2500 0.5000
Ta 0.2500 0.7500 0.5000
Ta 0.5000 0.5000 0.0000
Hg 0.1348 0.6250 0.0098
Hg 0.3750 0.3848 0.5098
Hg 0.6152 0.1250 0.9902
Hg 0.8750 0.8652 0.4902

***

Entry 2:
Pm2Sm6In: relaxed, PBE.

Formation energy from the elements = -0.07 eV per atom
E_tot = -4.572 eV per atom

Lattice parameters (Å, degrees): 8.4295 8.6462 8.9496 70.28 87.64 74.57
Sites, in units of the cell vectors:
Pm 0.1147 0.1609 0.4902
Pm 0.2704 0.5298 0.5259
Pm 0.7296 0.4702 0.4741
Pm 0.8853 0.8391 0.5098
Sm 0.0044 0.6086 0.2009
Sm 0.1590 0.7250 0.8276
Sm 0.1814 0.9416 0.1961
Sm 0.3899 0.0437 0.8294
Sm 0.4550 0.5982 0.1446
Sm 0.4721 0.8057 0.5673
Sm 0.5279 0.1943 0.4327
Sm 0.5450 0.4018 0.8554
Sm 0.6101 0.9563 0.1706
Sm 0.8186 0.0584 0.8039
Sm 0.8410 0.2750 0.1724
Sm 0.9956 0.3914 0.7991
In 0.2628 0.3029 0.1071
In 0.7372 0.6971 0.8929

***

Entry 3:
La2UNiS5: relaxed, PBE.

Raw formation energy = -1.6749 eV/atom
E_tot = -6.960 eV per atom

Lattice parameters (Å, degrees): 8.4705 8.4705 12.1702 90.00 90.00 153.41
Sites, in units of the cell vectors:
La 0.1152 0.8848 0.5000
La 0.1173 0.8827 0.8505
La 0.8827 0.1173 0.3505
La 0.8848 0.1152 0.0000
U 0.1777 0.8223 0.1780
U 0.8223 0.1777 0.6780
Ni 0.4430 0.5570 0.5710
Ni 0.5570 0.4430 0.0710
S 0.0208 0.9792 0.1588
S 0.3037 0.6963 0.8357
S 0.3118 0.6882 0.5213
S 0.3428 0.6572 0.1747
S 0.4956 0.5044 0.9061
S 0.5044 0.4956 0.4061
S 0.6572 0.3428 0.6747
S 0.6882 0.3118 0.0213
S 0.6963 0.3037 0.3357
S 0.9792 0.0208 0.6588

***

Entry 4:
Nd3Ho2Tm6Th: relaxed, PBE.

Formation energy from the elements = 0.02 eV per atom
E_tot = -4.787 eV per atom

Lattice parameters (Å, degrees): 6.1603 6.1603 11.7041 95.04 95.04 120.00
Sites, in units of the cell vectors:
Nd 0.0000 0.0000 0.0000
Nd 0.3328 0.6672 0.0000
Nd 0.6672 0.3328 0.0000
Ho 0.1668 0.8332 0.5000
Ho 0.8332 0.1668 0.5000
Tm 0.0875 0.4174 0.2537
Tm 0.2527 0.2527 0.7462
Tm 0.4174 0.0875 0.2537
Tm 0.5826 0.9125 0.7463
Tm 0.7473 0.7473 0.2538
Tm 0.9125 0.5826 0.7463
Th 0.5000 0.5000 0.5000